Record 1
The following is a meta-GGA SCAN calculation of Ca3Co2O7 at its PBEsol-relaxed geometry, from Alexandria via LeMat-Bulk.

Geometry as CIF:
```
data_Ca3Co2O7
_chemical_formula_sum 'Ca12 Co8 O28'
_cell_length_a 19.357
_cell_length_b 5.111
_cell_length_c 5.153
_cell_angle_alpha 90.00
_cell_angle_beta 90.00
_cell_angle_gamma 90.00
_space_group_name_H-M_alt 'C m c 21'
_space_group_IT_number 36
_space_group_name_Hall 'C 2c -2'
loop_
_atom_site_label
_atom_site_fract_x
_atom_site_fract_y
_atom_site_fract_z
_atom_site_occupancy
Ca1 0.000 0.243 0.000 1
Ca2 0.187 0.248 0.921 1
Co1 0.097 0.250 0.458 1
O1 0.000 0.317 0.449 1
O2 0.085 0.048 0.755 1
O3 0.108 0.453 0.161 1
O4 0.195 0.215 0.457 1
```

Results
volume: 509.8 Å³/cell
energy relative to the elements, uncorrected: -26.74 eV/f.u.

Record 2
The following is a meta-GGA SCAN calculation of YAsN3 at its PBEsol-relaxed geometry, from Alexandria via LeMat-Bulk.

Geometry as CIF:
```
data_YAsN3
_chemical_formula_sum 'Y1 As1 N3'
_cell_length_a 3.785
_cell_length_b 3.785
_cell_length_c 3.785
_cell_angle_alpha 90.00
_cell_angle_beta 90.00
_cell_angle_gamma 90.00
_space_group_name_H-M_alt 'P m -3 m'
_space_group_IT_number 221
_space_group_name_Hall '-P 4 2 3'
loop_
_atom_site_label
_atom_site_fract_x
_atom_site_fract_y
_atom_site_fract_z
_atom_site_occupancy
Y1 0.000 0.000 0.000 1
As1 0.500 0.500 0.500 1
N1 0.000 0.500 0.500 1
```

Results
volume: 54.2 Å³/cell
energy relative to the elements, uncorrected: -0.33 eV/f.u.

Record 3
The following is a meta-GGA SCAN calculation of TePPt2 at its PBEsol-relaxed geometry, from Alexandria via LeMat-Bulk.

Geometry as CIF:
```
data_TePPt2
_chemical_formula_sum 'Te3 P3 Pt6'
_cell_length_a 3.7590
_cell_length_b 3.7590
_cell_length_c 17.4676
_cell_angle_alpha 90.00
_cell_angle_beta 90.00
_cell_angle_gamma 120.00
_space_group_name_H-M_alt 'R -3 m'
_space_group_IT_number 166
_space_group_name_Hall '-R 3 2"'
loop_
_atom_site_label
_atom_site_fract_x
_atom_site_fract_y
_atom_site_fract_z
_atom_site_occupancy
Te1 0.0000 0.0000 0.0000 1
P1 0.0000 0.0000 0.5000 1
Pt1 0.0000 0.0000 0.2302 1
```

Results
polymorph energy (0 for the lowest one): 99.7 meV/atom
volume: 213.8 Å³/cell
energy relative to the elements, uncorrected: -1.18 eV/f.u.